AgAs2Os | the Alexandria database | PBE-GGA | relaxed; energy relative to the elements = 0.64 eV/atom; crystal system = tetragonal; energy above the most stable polymorph in this dataset = 0.455 eV per atom; DFT total energy = -5.21 eV per atom
1.0
5.196 -0.014 0.000
2.307 4.656 0.000
-3.752 -2.321 2.746
As Os Ag
2 1 1
Cartesian
1.154 2.328 1.373
0.000 0.000 0.000
3.752 2.321 0.000
2.598 -0.007 1.373


NaPm2AlS5 | the Alexandria database | PBE-GGA | relaxed; raw formation energy = -1.638 eV per atom; crystal system = orthorhombic; DFT total energy = -5.55 eV per atom
1.0
-0.161 3.698 -1.148
-8.302 -1.766 2.017
1.963 3.564 11.202
Pm S Al Na
4 10 2 2
Cartesian
-0.677 2.461 8.019
-4.542 4.877 9.801
-6.079 2.571 2.591
-1.635 1.208 4.119
-1.578 3.703 5.606
-3.183 2.593 2.256
-3.518 2.540 8.672
-0.295 0.083 0.307
0.205 2.777 2.375
-5.852 0.105 1.159
-4.839 1.321 4.932
-1.248 4.926 9.496
-6.667 2.789 9.915
-7.100 3.790 6.660
0.950 5.159 9.938
-6.758 1.595 6.083
-4.201 3.792 6.259
-3.160 0.141 0.898


SrB4Rh5 | the Alexandria database | PBE-GGA | relaxed; energy relative to the elements = -0.22 eV/atom; crystal system = orthorhombic; DFT total energy = -6.73 eV per atom
1.0
5.148 0.000 0.000
0.000 5.810 0.000
0.000 0.000 9.216
B Rh Sr
8 10 2
Cartesian
4.975 2.905 7.655
3.528 1.167 4.608
0.172 0.000 3.048
1.619 1.738 0.000
0.172 0.000 6.168
1.619 4.072 0.000
3.528 4.643 4.608
4.975 2.905 1.560
1.323 4.388 7.310
3.825 1.483 2.702
3.825 4.327 6.513
3.825 1.483 6.514
3.825 4.327 2.702
3.371 2.905 0.000
1.323 4.388 1.906
1.777 0.000 4.608
1.323 1.422 1.906
1.323 1.422 7.310
0.981 2.905 4.608
4.166 0.000 0.000


Ba2PuSe4 | the Alexandria database | PBE-GGA | relaxed; raw formation energy = -1.552 eV per atom; crystal system = monoclinic; energy above the most stable polymorph in this dataset = 0.149 eV per atom; DFT total energy = -6.14 eV per atom
1.0
8.467 0.000 -0.245
0.000 5.838 0.000
-3.404 0.000 9.703
Se Ba Pu
8 4 2
Cartesian
1.806 5.795 7.282
3.257 0.042 2.176
5.245 4.378 8.235
5.938 1.459 5.772
1.806 2.961 7.282
-0.875 4.378 3.685
3.257 2.877 2.176
-0.182 1.459 1.222
5.749 4.378 0.632
0.387 1.459 4.513
4.677 4.378 4.944
-0.686 1.459 8.826
4.186 1.459 7.955
0.878 4.378 1.502


Hf2ZrTe4 | the Alexandria database | PBE-GGA | relaxed; raw formation energy = -0.787 eV per atom; crystal system = monoclinic; energy above the most stable polymorph in this dataset = 0.000 eV per atom; DFT total energy = -6.65 eV per atom
1.0
-0.486 -0.630 3.813
6.850 -2.522 0.457
-1.030 7.724 -0.845
Zr Te Hf
1 4 2
Cartesian
0.000 0.000 0.000
4.911 -0.363 0.567
0.422 4.935 2.859
3.747 3.643 1.080
1.586 0.929 2.345
0.693 3.176 0.613
4.640 1.396 2.812


Mg3CrRu | the Alexandria database | PBE-GGA | relaxed; energy relative to the elements = 1.15 eV/atom; crystal system = cubic; energy above the most stable polymorph in this dataset = 0.000 eV per atom; DFT total energy = -3.58 eV per atom
1.0
4.856 0.000 0.000
0.000 4.856 0.000
0.000 0.000 4.856
Mg Ru Cr
3 1 1
Cartesian
2.428 0.000 0.000
0.000 0.000 2.428
0.000 2.428 0.000
0.000 0.000 0.000
2.428 2.428 2.428


HgPt2Cl | the Alexandria database | PBE-GGA | relaxed; raw formation energy = 0.468 eV per atom; crystal system = tetragonal; energy above the most stable polymorph in this dataset = 0.359 eV per atom; DFT total energy = -3.09 eV per atom
1.0
-0.757 -2.628 -3.821
4.037 1.484 -1.891
-0.048 -1.949 4.275
Pt Cl Hg
2 1 1
Cartesian
0.000 0.000 0.000
2.814 -0.518 -0.236
1.640 -0.572 -2.856
0.417 -2.574 -1.201


Zn2Ga8Pt | the Alexandria database | PBE-GGA | relaxed; energy relative to the elements = -0.10 eV/atom; crystal system = monoclinic; DFT total energy = -3.08 eV per atom
1.0
4.818 -0.808 -0.564
-0.203 6.696 -0.228
-0.203 2.090 6.366
Ga Zn Pt
8 2 1
Cartesian
1.236 5.276 3.685
0.849 2.674 3.986
3.176 2.702 1.888
0.482 2.071 1.447
3.931 5.907 4.126
3.564 5.304 1.587
3.564 3.316 4.434
0.849 4.662 1.139
1.855 7.319 5.112
2.557 0.659 0.461
0.000 0.000 0.000


HoUCo | the Alexandria database | PBE-GGA | relaxed; energy relative to the elements = -0.10 eV/atom; crystal system = orthorhombic; DFT total energy = -7.75 eV per atom
1.0
3.586 0.000 0.000
0.000 7.982 0.000
0.000 0.000 8.682
Co U Ho
4 4 4
Cartesian
0.896 5.959 7.553
2.689 2.023 1.130
2.689 6.014 3.211
0.896 1.968 5.471
0.896 3.066 8.413
2.689 4.915 0.270
0.896 7.057 4.611
2.689 0.924 4.071
0.896 7.769 1.444
0.896 3.778 2.897
2.689 4.204 5.786
2.689 0.213 7.238


CsHfInAu2 | the Alexandria database | PBE-GGA | relaxed; energy relative to the elements = 1.68 eV/atom; crystal system = tetragonal; DFT total energy = -2.34 eV per atom
1.0
5.814 0.000 0.000
0.000 6.061 0.000
0.000 0.000 5.814
In Hf Au Cs
1 1 2 1
Cartesian
0.000 3.031 0.000
2.907 3.031 2.907
0.000 0.000 2.907
2.907 0.000 0.000
0.000 0.000 0.000


Cs2BaBe2Se4 | the Alexandria database | PBE-GGA | relaxed; raw formation energy = -1.151 eV per atom; crystal system = monoclinic; DFT total energy = -3.93 eV per atom
1.0
4.225 0.000 0.000
0.000 9.033 0.007
-2.113 -3.567 7.613
Cs Be Se Ba
2 2 4 1
Cartesian
2.113 1.312 5.640
0.000 4.154 1.980
2.113 7.385 2.665
0.000 -1.919 4.955
0.000 -0.446 3.230
2.113 6.670 0.589
0.000 -1.204 7.031
2.113 5.912 4.390
0.000 0.000 0.000


LiMg2Zn | the Alexandria database | PBE-GGA | relaxed; energy relative to the elements = 0.13 eV/atom; crystal system = tetragonal; DFT total energy = -1.47 eV per atom
1.0
-4.548 1.724 -5.951
5.632 -1.924 -4.862
-0.436 -2.843 -5.454
Li Mg Zn
2 4 2
Cartesian
2.869 -2.433 -7.861
0.542 -0.100 -5.406
-2.339 0.161 -5.810
0.735 -2.345 -13.649
-0.033 -2.168 -8.048
2.934 -1.732 -5.027
-2.221 -0.609 -8.406
0.000 0.000 0.000


ZrInOs4 | the Alexandria database | PBE-GGA | relaxed; energy relative to the elements = 0.09 eV/atom; crystal system = cubic; DFT total energy = -9.27 eV per atom
1.0
-2.751 1.398 4.247
-4.942 1.695 -0.514
-3.986 -2.992 1.647
Os In Zr
4 1 1
Cartesian
-4.376 0.038 2.016
-6.374 -1.462 2.841
-5.755 0.738 4.145
-6.853 0.887 1.758
0.000 0.000 0.000
-8.759 0.075 4.035


PCl5 | the Alexandria database | PBE-GGA | relaxed; raw formation energy = -0.317 eV per atom; crystal system = monoclinic; DFT total energy = -2.76 eV per atom
1.0
1.812 8.230 -1.029
-1.812 8.230 -1.029
0.000 -0.038 6.802
Cl P
5 1
Cartesian
0.000 1.273 1.470
0.000 11.473 3.614
0.000 6.003 4.468
0.000 4.174 0.478
0.000 15.911 0.262
0.000 13.166 4.729


KBe2InBr6 | the Alexandria database | PBE-GGA | relaxed; raw formation energy = -1.058 eV per atom; crystal system = monoclinic; DFT total energy = -3.19 eV per atom
1.0
8.956 -0.703 -0.049
-1.794 8.802 -0.049
-2.192 -2.479 9.795
Br Be In K
12 4 2 2
Cartesian
2.122 0.110 8.657
0.153 6.397 6.037
5.510 5.383 3.449
-2.457 3.445 8.558
-0.541 0.237 6.249
7.426 2.175 1.139
4.816 -0.777 3.661
2.848 5.510 1.041
3.571 4.888 8.346
0.945 3.359 3.759
4.024 2.261 5.938
1.398 0.732 1.351
0.214 2.260 2.129
4.755 3.360 7.569
3.848 6.370 2.671
1.121 -0.750 7.026
0.924 3.086 7.297
4.045 2.534 2.400
5.196 -0.692 7.297
-0.227 6.312 2.400


NdY3Th2 | the Alexandria database | PBE-GGA | relaxed; energy relative to the elements = 0.03 eV/atom; crystal system = monoclinic; energy above the most stable polymorph in this dataset = 0.000 eV per atom; DFT total energy = -6.47 eV per atom
1.0
-5.448 2.571 -3.932
-8.631 -6.867 4.177
-6.158 -0.228 5.095
Nd Th Y
2 4 6
Cartesian
-8.757 -2.903 3.652
-11.480 -1.620 1.688
-7.456 1.212 -2.041
-15.504 -4.446 5.413
-4.733 -0.077 -0.072
-12.780 -5.735 7.381
-12.175 -3.686 4.589
-14.898 -2.396 2.620
-16.150 -6.451 8.288
-4.087 1.927 -2.947
-8.061 -0.838 0.752
-5.339 -2.128 2.721


Tb2Zn3Rh | the Alexandria database | PBE-GGA | relaxed; energy relative to the elements = -0.53 eV/atom; crystal system = monoclinic; DFT total energy = -3.93 eV per atom
1.0
3.995 0.000 1.673
1.751 5.015 1.426
-0.103 -0.033 5.852
Zn Rh Tb
3 1 2
Cartesian
3.729 1.154 2.309
1.916 3.778 6.637
4.347 3.078 6.438
1.241 1.872 2.644
2.512 1.026 5.216
3.184 4.037 3.609


BaSrNp4N8 | the Alexandria database | PBE-GGA | relaxed; raw formation energy = -0.964 eV per atom; crystal system = trigonal; DFT total energy = -9.68 eV per atom
1.0
6.944 0.000 0.000
3.472 6.014 0.000
3.472 2.005 6.279
N Sr Np Ba
8 1 4 1
Cartesian
8.823 5.094 1.861
6.944 1.839 1.861
3.472 2.005 2.128
10.416 6.014 3.949
5.065 5.094 1.861
5.199 3.002 3.965
6.944 6.024 3.965
8.689 3.002 3.965
3.472 2.005 6.212
5.220 0.996 3.037
3.472 4.022 3.037
1.725 0.996 3.037
6.944 4.009 2.432
6.944 4.009 5.786


Zn2SnRh3 | the Alexandria database | PBE-GGA | relaxed; energy relative to the elements = -0.43 eV/atom; crystal system = tetragonal; DFT total energy = -5.20 eV per atom
1.0
-1.785 2.166 1.391
-2.538 -1.199 -1.390
-1.248 -5.588 7.096
Sn Rh Zn
1 3 2
Cartesian
-2.786 -2.310 3.549
-0.841 -3.762 4.778
0.000 0.000 0.000
-0.408 -1.826 2.318
-2.353 -0.375 1.091
-3.218 -4.245 6.006


TlFe2As | the Alexandria database | PBE-GGA | relaxed; energy relative to the elements = 0.69 eV/atom; crystal system = cubic; energy above the most stable polymorph in this dataset = 0.497 eV per atom; DFT total energy = -5.29 eV per atom
1.0
4.600 0.000 0.000
2.300 3.984 0.000
2.300 1.328 3.756
Tl Fe As
1 2 1
Cartesian
6.901 3.984 2.817
0.000 0.000 0.000
2.300 1.328 0.939
4.600 2.656 1.878


CrPb2I | the Alexandria database | PBE-GGA | relaxed; raw formation energy = 0.587 eV per atom; crystal system = cubic; energy above the most stable polymorph in this dataset = 0.000 eV per atom; DFT total energy = -4.06 eV per atom
1.0
0.000 3.898 3.898
3.898 0.000 3.898
3.898 3.898 0.000
Pb I Cr
2 1 1
Cartesian
5.847 5.847 5.847
1.949 1.949 1.949
3.898 3.898 3.898
0.000 0.000 0.000


Nd6HRu2Br3 | the Alexandria database | PBE-GGA | relaxed; crystal system = monoclinic; DFT total energy = -5.44 eV per atom
1.0
-6.706 -1.144 -1.359
3.895 -5.043 2.745
-0.946 4.556 6.772
Nd H Br Ru
6 1 3 2
Cartesian
-4.687 -0.438 5.827
-2.604 0.106 0.963
-1.154 -1.737 7.195
0.929 -1.193 2.331
-2.243 -3.641 2.336
-1.515 2.010 5.822
0.000 0.000 0.000
1.613 -2.100 5.431
-5.371 0.468 2.727
-1.879 -0.816 4.079
-3.171 -2.444 0.009
0.360 -3.743 1.376


NpU2Re | the Alexandria database | PBE-GGA | relaxed; energy relative to the elements = 0.21 eV/atom; crystal system = tetragonal; energy above the most stable polymorph in this dataset = 0.118 eV per atom; DFT total energy = -11.78 eV per atom
1.0
-0.687 -0.688 3.189
-3.049 -1.026 -0.878
2.340 -6.233 -0.840
Np U Re
1 2 1
Cartesian
-1.868 -0.857 1.156
1.792 -4.771 -0.643
0.549 -1.461 -0.197
-0.698 -3.974 0.735